Record 1
# NaCeH2Cl8

A relaxed structure of NaCeH2Cl8 (PBE-GGA, Alexandria).

Its space group is P-1, No. 2.

abc: 6.6855 6.7066 8.2725
angles: 106.61 89.03 85.53
Last column: magnetic moment on the atom in μB.
Atoms (fractional coordinates):
H: 0.7295 0.5792 0.3829  0.00
Cl: 0.8779 0.2574 0.8346  0.01
Cl: 0.3550 0.2325 0.5438  0.00
Cl: 0.1221 0.7426 0.1654  0.01
Cl: 0.1236 0.7381 0.7068  0.01
Cl: 0.6450 0.7675 0.4562  0.00
Cl: 0.8764 0.2619 0.2932  0.01
Cl: 0.3672 0.1599 0.0278  0.35
Na: 0.0000 0.0000 0.5000  0.00
H: 0.2705 0.4208 0.6171  0.00
Cl: 0.6328 0.8401 0.9722  0.35
Ce: 0.0000 0.0000 0.0000  0.02

=====

Record 2
# CeH14Cl3O7

A relaxed structure of CeH14Cl3O7 (PBE-GGA, Alexandria).

Its space group is P-1, No. 2.

abc: 8.0524 7.9941 9.4546
angles: 74.12 73.28 82.86
Last column: magnetic moment on the atom in μB.
Atoms (fractional coordinates):
H: 0.9898 0.1469 0.6070  0.00
H: 0.0717 0.5259 0.2698  0.00
O: 0.9432 0.9270 0.3232  0.00
H: 0.5219 0.1474 0.2618  0.00
Cl: 0.1310 0.8156 0.9749  -0.01
O: 0.3899 0.3370 0.5648  0.00
H: 0.8247 0.4381 0.0948  0.00
O: 0.4473 0.9771 0.7027  0.00
Cl: 0.6669 0.6122 0.7676  0.00
H: 0.9283 0.4741 0.7302  0.00
H: 0.5686 0.3358 0.8332  0.00
O: 0.7570 0.9288 0.8843  0.00
O: 0.9481 0.5636 0.3018  0.00
O: 0.2430 0.0712 0.1157  0.00
H: 0.1116 0.5434 0.6329  0.00
H: 0.0102 0.8531 0.3930  0.00
Ce: 0.2212 0.1837 0.8296  0.97
O: 0.0568 0.0730 0.6768  0.00
O: 0.2280 0.4432 0.9262  0.00
O: 0.6101 0.6630 0.4352  0.00
H: 0.7219 0.5636 0.9882  0.00
Ce: 0.7788 0.8163 0.1704  0.97
H: 0.6101 0.1301 0.8578  0.00
Cl: 0.8690 0.1844 0.0251  -0.01
H: 0.2781 0.4364 0.0118  0.00
H: 0.2740 0.1610 0.1566  0.00
Cl: 0.2156 0.7901 0.5088  0.00
H: 0.1753 0.5619 0.9052  0.00
O: 0.5176 0.2235 0.8519  0.00
O: 0.0519 0.4364 0.6982  0.00
H: 0.4314 0.6642 0.1668  0.00
H: 0.5180 0.3208 0.5351  0.00
O: 0.7720 0.5568 0.0738  0.00
H: 0.8701 0.9718 0.8137  0.00
H: 0.6456 0.6444 0.5303  0.00
H: 0.4820 0.6792 0.4649  0.00
H: 0.8837 0.0220 0.3731  0.00
H: 0.1299 0.0282 0.1863  0.00
H: 0.8884 0.4566 0.3671  0.00
H: 0.4781 0.8526 0.7382  0.00
H: 0.5538 0.0301 0.6314  0.00
H: 0.1163 0.9780 0.6269  0.00
H: 0.7260 0.8390 0.8434  0.00
Cl: 0.3331 0.3878 0.2324  0.00
H: 0.3544 0.3556 0.4697  0.00
H: 0.4462 0.9699 0.3686  0.00
H: 0.3899 0.8699 0.1422  0.00
O: 0.4824 0.7765 0.1481  0.00
Cl: 0.7844 0.2099 0.4912  0.00
O: 0.5527 0.0229 0.2973  0.00

=====

Record 3
# Ce6HOs2Cl3

A relaxed structure of Ce6HOs2Cl3 (PBE-GGA, Alexandria).

Its space group is C2/m, No. 12.

abc: 6.7588 6.7588 7.7452
angles: 98.37 98.37 119.95
Last column: magnetic moment on the atom in μB.
Atoms (fractional coordinates):
Os: 0.3348 0.6652 0.0000  -0.12
Os: 0.6652 0.3348 0.0000  -0.12
Cl: 0.8245 0.1755 0.5000  -0.01
Cl: 0.5000 0.5000 0.5000  -0.01
Ce: 0.2546 0.2546 0.7840  0.84
Ce: 0.7454 0.7454 0.2160  0.84
H: 0.0000 0.0000 0.0000  -0.01
Ce: 0.9306 0.6044 0.7905  0.81
Ce: 0.6044 0.9306 0.7905  0.81
Ce: 0.3956 0.0694 0.2095  0.81
Ce: 0.0694 0.3956 0.2095  0.81
Cl: 0.1755 0.8245 0.5000  -0.01

=====

Record 4
# RbCeH2Cl8

A relaxed structure of RbCeH2Cl8 (PBE-GGA, Alexandria).

Its space group is P-1, No. 2.

abc: 6.9435 4.5960 15.8461
angles: 67.82 107.36 69.44
Last column: magnetic moment on the atom in μB.
Atoms (fractional coordinates):
Cl: 0.6956 0.4242 0.7986  -0.01
Cl: 0.7778 0.5830 0.0249  -0.01
Cl: 0.5030 0.2302 0.5141  0.00
H: 0.3809 0.8843 0.7423  0.00
H: 0.6191 0.1157 0.2577  0.00
Ce: 0.0000 0.0000 0.0000  0.57
Cl: 0.1584 0.1550 0.6982  0.00
Cl: 0.8416 0.8450 0.3018  0.00
Cl: 0.4970 0.7698 0.4859  0.00
Cl: 0.3044 0.5758 0.2014  -0.01
Rb: 0.0000 0.0000 0.5000  0.00
Cl: 0.2222 0.4170 0.9751  -0.01

=====

Record 5
# Ce2H2SCl

A relaxed structure of Ce2H2SCl (PBE-GGA, Alexandria).

Its space group is P-3m1, No. 164.

abc: 3.9301 3.9301 7.8190
angles: 90.00 90.00 120.00
Last column: magnetic moment on the atom in μB.
Atoms (fractional coordinates):
Ce: 0.3333 0.6667 0.2763  0.97
Ce: 0.6667 0.3333 0.7237  0.97
S: 0.0000 0.0000 0.5000  -0.03
Cl: 0.0000 0.0000 0.0000  0.00
H: 0.3333 0.6667 0.7578  0.00
H: 0.6667 0.3333 0.2422  0.00

=====

Record 6
# CeTlH2Cl8

A relaxed structure of CeTlH2Cl8 (PBE-GGA, Alexandria).

Its space group is P-1, No. 2.

abc: 7.0499 6.7034 8.1735
angles: 88.87 88.28 88.71
Atoms (fractional coordinates):
Tl: 0.0000 0.0000 0.5000
Cl: 0.1828 0.8004 0.2371
Ce: 0.0000 0.0000 0.0000
H: 0.6842 0.7404 0.3026
Cl: 0.8599 0.2339 0.2389
Cl: 0.1401 0.7661 0.7611
Cl: 0.8172 0.1996 0.7629
Cl: 0.3284 0.2708 0.5338
Cl: 0.7141 0.7656 0.0526
H: 0.3158 0.2596 0.6974
Cl: 0.2859 0.2344 0.9474
Cl: 0.6716 0.7292 0.4662

=====

Record 7
# CeHgCl

A relaxed structure of CeHgCl (PBE-GGA, Alexandria).

Its space group is Fddd, No. 70. For the uncorrected formation energy, the calculation gives -2.9 eV per formula unit.

abc: 7.0029 8.5237 7.0029
angles: 70.01 80.34 109.99
Last column: magnetic moment on the atom in μB.
Atoms (fractional coordinates):
Cl: 0.9179 0.2616 0.5821  -0.01
Hg: 0.3882 0.2023 0.6118  0.03
Ce: 0.5556 0.9999 0.9816  1.11
Ce: 0.0184 0.0001 0.4444  1.11
Cl: 0.1563 0.7384 0.3437  -0.01
Hg: 0.1859 0.7977 0.8141  0.03
Ce: 0.2684 0.4999 0.6944  1.11
Hg: 0.4359 0.2977 0.0641  0.03
Hg: 0.6382 0.7023 0.8618  0.03
Cl: 0.9063 0.2384 0.0937  -0.01
Cl: 0.6679 0.7616 0.3321  -0.01
Ce: 0.8056 0.5001 0.2316  1.11

=====

Record 8
# CeHgCl3

A relaxed structure of CeHgCl3 (PBE-GGA, Alexandria).

Its space group is R-3, No. 148. As for the energy relative to the lowest polymorph listed for this composition: 0.00 eV per formula unit. For the uncorrected formation energy, the calculation gives -8.6 eV per formula unit.

abc: 7.3845 7.3845 10.5774
angles: 69.57 69.57 60.00
Last column: magnetic moment on the atom in μB.
Atoms (fractional coordinates):
Hg: 0.8404 0.8404 0.4787  0.00
Cl: 0.9458 0.3248 0.1571  -0.01
Cl: 0.3248 0.5723 0.1571  -0.01
Cl: 0.6752 0.4277 0.8429  -0.01
Ce: 0.6673 0.6673 0.9982  0.98
Hg: 0.1596 0.1596 0.5213  0.00
Cl: 0.0542 0.6752 0.8429  -0.01
Cl: 0.5723 0.9458 0.1571  -0.01
Cl: 0.4277 0.0542 0.8429  -0.01
Ce: 0.3327 0.3327 0.0018  0.98

=====

no.,raw total energy (eV/atom)
1,-3.61
2,-4.97
3,-6.42
4,-3.62
5,-5.44
6,-3.61
7,-3.66
8,-4.08